InSnTeI | PBE | optimized geometry

The structure in CIF format:
```
data_InSnTeI
_chemical_formula_sum 'In6 Sn6 Te6 I6'
_cell_length_a 5.5151
_cell_length_b 5.5151
_cell_length_c 37.1544
_cell_angle_alpha 90.00
_cell_angle_beta 90.00
_cell_angle_gamma 120.00
_space_group_name_H-M_alt 'R -3 m'
_space_group_IT_number 166
_space_group_name_Hall '-R 3 2"'
loop_
_atom_site_label
_atom_site_type_symbol
_atom_site_fract_x
_atom_site_fract_y
_atom_site_fract_z
_atom_site_occupancy
In1 In 0.0000 0.0000 0.1063 1
Sn1 Sn 0.0000 0.0000 0.2956 1
Te1 Te 0.0000 0.0000 0.3778 1
I1 I 0.0000 0.0000 0.2013 1
```

Properties
As for the total DFT energy (no corrections): -3.1227 eV per atom. Its mass density is 5.0 g/cm3.